The following is a DFT calculation (PBE-GGA) of a geometry-optimized Al2CrTe structure.

Output
Calculated density (g cm⁻³): 5.111
Formation energy (no corrections) (eV/atom): 0.298
Size of the total moment (μB/f.u.): 3.296

Unit cell a=5.226 b=5.226 c=5.226 alpha=137.47 beta=126.66 gamma=70.49
Fractional coordinates of all 4 atoms:
Al: 0.000 0.000 0.000
Al: 0.754 0.254 0.500
Cr: 0.232 0.732 0.500
Te: 0.490 0.490 0.000

=====

The following is a DFT calculation (PBE-GGA) of a geometry-optimized HfNb3Re structure.

Output
E_form (eV/f.u.): 0.66
Distance to the lowest polymorph of the same formula (eV/atom): 0.0000
Calculated density (g cm⁻³): 11.117
Size of the total moment (μB/f.u.): 0.000

Unit cell a=5.409 b=9.115 c=7.797 alpha=90.00 beta=90.00 gamma=90.00
Fractional coordinates of all 20 atoms:
Hf: 0.217 0.250 0.159
Hf: 0.283 0.750 0.659
Hf: 0.717 0.250 0.341
Hf: 0.783 0.750 0.841
Nb: 0.079 0.052 0.839
Nb: 0.079 0.448 0.839
Nb: 0.216 0.250 0.545
Nb: 0.284 0.750 0.045
Nb: 0.421 0.552 0.339
Nb: 0.421 0.948 0.339
Nb: 0.579 0.052 0.661
Nb: 0.579 0.448 0.661
Nb: 0.716 0.250 0.955
Nb: 0.784 0.750 0.455
Nb: 0.921 0.552 0.161
Nb: 0.921 0.948 0.161
Re: 0.000 0.000 0.500
Re: 0.000 0.500 0.500
Re: 0.500 0.000 0.000
Re: 0.500 0.500 0.000

=====

The following is a DFT calculation (PBE-GGA) of a geometry-optimized KLiB2F8 structure.

Output
Calculated density (g cm⁻³): 2.421
Formation energy (no corrections) (eV/atom): -2.984
Size of the total moment (μB/f.u.): 0.124

Unit cell a=7.904 b=7.904 c=7.904 alpha=35.75 beta=35.75 gamma=35.75
Fractional coordinates of all 12 atoms:
K: 0.000 0.000 0.000
Li: 0.500 0.500 0.500
B: 0.242 0.242 0.242
B: 0.758 0.758 0.758
F: 0.070 0.745 0.519
F: 0.255 0.481 0.930
F: 0.307 0.307 0.307
F: 0.481 0.930 0.255
F: 0.519 0.070 0.745
F: 0.693 0.693 0.693
F: 0.745 0.519 0.070
F: 0.930 0.255 0.481

=====

> Which of these has the lowest size of the total moment?

HfNb3Re

=====

> What is the calculated density in the second record?

11.117 g cm⁻³

=====

> Which of these has the highest calculated density?

HfNb3Re

=====

> The lowest calculated density belongs to which entry?

KLiB2F8